No. 1
A plane-wave DFT calculation with PBE-GGA was carried out for NdCuPbAu after structural relaxation.

## Properties
magnetization: 0.00 μB per formula unit

Structure (CIF):
```
data_NdCuPbAu
_symmetry_space_group_name_H-M 'F -4 3 m'
_symmetry_Int_Tables_number 216
_symmetry_space_group_name_Hall 'F -4 2 3'
_cell_length_a 7.131
_cell_length_b 7.131
_cell_length_c 7.131
_cell_angle_alpha 90.00
_cell_angle_beta 90.00
_cell_angle_gamma 90.00
loop_
_atom_site_label
_atom_site_fract_x
_atom_site_fract_y
_atom_site_fract_z
Nd1 0.000 0.000 0.000
Cu1 0.250 0.250 0.250
Pb1 0.000 0.000 0.500
Au1 0.250 0.250 0.750
```

No. 2
A plane-wave DFT calculation with PBE-GGA was carried out for NdCu2PdAu5 after structural relaxation.

## Properties
magnetization: 0.00 μB per formula unit

Structure (CIF):
```
data_NdCu2PdAu5
_symmetry_space_group_name_H-M 'P 4/m m m'
_symmetry_Int_Tables_number 123
_symmetry_space_group_name_Hall '-P 4 2'
_cell_length_a 4.874
_cell_length_b 4.874
_cell_length_c 7.326
_cell_angle_alpha 90.00
_cell_angle_beta 90.00
_cell_angle_gamma 90.00
loop_
_atom_site_label
_atom_site_fract_x
_atom_site_fract_y
_atom_site_fract_z
Nd1 0.000 0.000 0.000
Cu1 0.500 0.500 0.344
Pd1 0.000 0.000 0.500
Au1 0.000 0.500 0.277
Au2 0.500 0.500 0.000
```

No. 3
A plane-wave DFT calculation with PBE-GGA was carried out for Nd2Cu2Pd5Au after structural relaxation.

## Properties
magnetization: 0.00 μB per formula unit

Structure (CIF):
```
data_Nd2Cu2Pd5Au
_symmetry_space_group_name_H-M 'P 4/m b m'
_symmetry_Int_Tables_number 127
_symmetry_space_group_name_Hall '-P 4 2ab'
_cell_length_a 9.463
_cell_length_b 9.463
_cell_length_c 4.018
_cell_angle_alpha 90.00
_cell_angle_beta 90.00
_cell_angle_gamma 90.00
loop_
_atom_site_label
_atom_site_fract_x
_atom_site_fract_y
_atom_site_fract_z
Nd1 0.181 0.319 0.000
Cu1 0.117 0.617 0.000
Pd1 0.000 0.500 0.500
Pd2 0.066 0.792 0.500
Au1 0.000 0.000 0.000
```

| no. | energy relative to the elements (eV per atom) |
| --- | --- |
| 1 | -0.38 |
| 2 | -0.12 |
| 3 | -0.58 |